DFT (PBE) results for Y2Rh after structural relaxation.

Unit cell a=7.4020 b=7.4020 c=4.6723 alpha=90.00 beta=90.00 gamma=120.00
Fractional coordinates of all 9 atoms:
Y  0.4074  0.4074  0.5000
Y  0.0000  0.2636  0.0000
Y  0.0000  0.5926  0.5000
Y  0.7364  0.7364  0.0000
Y  0.5926  0.0000  0.5000
Y  0.2636  0.0000  0.0000
Rh  0.6667  0.3333  0.0000
Rh  0.3333  0.6667  0.0000
Rh  0.0000  0.0000  0.5000

The formation enthalpy at 0 K comes out at -583 meV/atom. For the volume, the calculation gives 74 Å³/f.u. The value obtained for the density of states at the Fermi level is 1.211 states/eV per atom.